# 1
Computed, not measured: a geometry-optimized Tb2Pr2Hg structure at the PBE-GGA level of DFT.

Space-group type: C2/m, No. 12
Volume: 314 Å³ per cell
Final energy: -39.24 eV for the cell shown
Polymorph energy (0 for the lowest one): 8.13 kJ/mol of atoms
Formation enthalpy at 0 K: -0.099 eV per atom

a = 8.487 Å, b = 6.392 Å, c = 9.143 Å
α = 69.26°, β = 57.77°, γ = 48.40°
Sites, in units of the cell vectors:
Pr 0.736 0.000 0.426
Pr 0.395 0.000 0.884
Pr 0.605 0.000 0.116
Pr 0.264 0.000 0.574
Tb 0.037 0.629 0.723
Tb 0.963 0.371 0.277
Tb 0.667 0.371 0.723
Tb 0.333 0.629 0.277
Hg 0.166 0.668 0.000
Hg 0.834 0.332 0.000

---

# 2
Computed, not measured: a geometry-optimized Ba2SrSb2 structure at the PBE-GGA level of DFT.

Space-group type: I4/mmm, No. 139
Volume: 229 Å³ per cell
Final energy: -16.44 eV for the cell shown
Polymorph energy (0 for the lowest one): 45.09 kJ/mol of atoms
Formation energy without anion corrections: -0.534 eV/atom

a = 6.363 Å, b = 6.363 Å, c = 7.237 Å
α = 63.92°, β = 63.92°, γ = 90.00°
Sites, in units of the cell vectors:
Ba 0.661 0.661 0.677
Ba 0.339 0.339 0.323
Sr 0.000 0.000 0.000
Sb 0.250 0.750 0.500
Sb 0.750 0.250 0.500

---

# 3
Computed, not measured: a geometry-optimized Zr8InTe2 structure at the PBE-GGA level of DFT.

Space-group type: C2/m, No. 12
Volume: 263 Å³ per cell
Final energy: -79.78 eV for the cell shown
Formation energy without anion corrections: -0.216 eV/atom

a = 5.398 Å, b = 7.580 Å, c = 7.580 Å
α = 116.13°, β = 100.06°, γ = 100.06°
Sites, in units of the cell vectors:
Zr 0.127 0.313 0.086
Zr 0.679 0.399 0.399
Zr 0.500 0.237 0.763
Zr 0.321 0.601 0.601
Zr 0.127 0.086 0.313
Zr 0.873 0.914 0.687
Zr 0.500 0.763 0.237
Zr 0.873 0.687 0.914
In 0.500 0.000 0.000
Te 0.000 0.310 0.690
Te 0.000 0.690 0.310

---

# 4
Computed, not measured: a geometry-optimized ErBeAlPt2 structure at the PBE-GGA level of DFT.

Space-group type: I-4m2, No. 119
Volume: 85 Å³ per cell
Final energy: -29.04 eV for the cell shown
Formation enthalpy at 0 K: -0.985 eV per atom

a = 3.791 Å, b = 3.791 Å, c = 6.517 Å
α = 106.91°, β = 106.91°, γ = 90.00°
Sites, in units of the cell vectors:
Er 0.000 0.000 0.000
Pt 0.618 0.618 0.235
Pt 0.382 0.382 0.765
Al 0.750 0.250 0.500
Be 0.250 0.750 0.500

---

> Which of these has the highest volume?

Tb2Pr2Hg